A plane-wave DFT calculation with PBE-GGA was carried out for an optimized crystal structure of MgSe2SN.

formation energy without anion corrections	0.99	eV/atom
offset from the most stable computed form	482	meV per atom
DOS(E_F)	0.857	states/eV per atom

Unit cell a=5.114 b=5.114 c=3.947 alpha=90.00 beta=90.00 gamma=90.00
Site moments in Bohr magnetons follow the coordinates.
Element x y z (fractional)
Se1 0.000 0.500 0.000  0.00
Mg1 0.000 0.000 0.000  -0.01
N1 0.000 0.000 0.500  1.13
Se2 0.500 0.000 0.000  0.00
S1 0.500 0.500 0.500  0.02